# 1
LaNi2Br PBE-GGA optimized geometry; electronic total energy = -18.26 eV per cell; M_tot = 0.00 μB/f.u.; excess energy over the best structure of this formula in the dataset = 0.454 eV per atom; raw formation energy = -24.6 meV/atom
1.0
2.1923 1.2657 4.6969
-2.1923 1.2657 4.6969
0.0000 -2.5314 4.6969
La Ni Br
1 2 1
direct
0.0000 0.0000 0.0000
0.2010 0.2010 0.2010
0.7990 0.7990 0.7990
0.5000 0.5000 0.5000

# 2
Y2ScAl2 PBE-GGA optimized geometry; electronic total energy = -54.28 eV per cell; M_tot = 0.28 μB/f.u.; excess energy over the best structure of this formula in the dataset = 0.273 eV per atom; formation enthalpy at 0 K = -0.079 eV per atom
1.0
8.6818 0.0000 0.0000
0.0000 8.6818 0.0000
0.0000 0.0000 3.3160
Y Sc Al
4 2 4
direct
0.1308 0.3692 0.0000
0.3692 0.8692 0.0000
0.6308 0.1308 0.0000
0.8692 0.6308 0.0000
0.0000 0.0000 0.0000
0.5000 0.5000 0.0000
0.1710 0.6710 0.5000
0.3290 0.1710 0.5000
0.6710 0.8290 0.5000
0.8290 0.3290 0.5000

# 3
AlRe2Hg PBE-GGA optimized geometry; electronic total energy = -26.71 eV per cell; M_tot = 0.00 μB/f.u.; excess energy over the best structure of this formula in the dataset = 0.405 eV per atom; formation enthalpy at 0 K = 0.559 eV per atom
1.0
0.0000 3.1817 3.1817
3.1817 0.0000 3.1817
3.1817 3.1817 0.0000
Al Re Hg
1 2 1
direct
0.0000 0.0000 0.0000
0.2500 0.2500 0.2500
0.5000 0.5000 0.5000
0.7500 0.7500 0.7500

# 4
Tb15Sm4Tl PBE-GGA optimized geometry; electronic total energy = -91.06 eV per cell; M_tot = 0.00 μB/f.u.; formation enthalpy at 0 K = -0.018 eV per atom
1.0
5.0014 0.0000 0.0000
0.0000 5.0014 0.0000
0.0000 0.0000 25.3637
Tb Sm Tl
15 4 1
direct
0.0000 0.0000 0.0000
0.0000 0.0000 0.1956
0.0000 0.0000 0.3986
0.0000 0.0000 0.6014
0.0000 0.0000 0.8044
0.0000 0.5000 0.0967
0.0000 0.5000 0.2985
0.0000 0.5000 0.5000
0.0000 0.5000 0.7015
0.0000 0.5000 0.9033
0.5000 0.0000 0.0967
0.5000 0.0000 0.2985
0.5000 0.0000 0.5000
0.5000 0.0000 0.7015
0.5000 0.0000 0.9033
0.5000 0.5000 0.1980
0.5000 0.5000 0.3994
0.5000 0.5000 0.6006
0.5000 0.5000 0.8020
0.5000 0.5000 0.0000

Question: M_tot of number 4 (Tb15Sm4Tl)?
Answer: 0.00 μB/f.u.